A plane-wave DFT calculation with GGA-PBEsol was carried out for a geometry-optimized Ir3C structure.

Polymorph energy (0 for the lowest one) in meV per atom: 0
Uncorrected energy in eV/atom: -9.13
Density of states at the Fermi level in states/eV/f.u.: 2.7
ΔH_f (0 K) in meV per atom: 646
Symmetry: No. 10
ρ in g cm⁻³: 19.3

Unit cell a=2.720 b=3.883 c=5.041 alpha=107.96 beta=90.00 gamma=90.00
Sites, in units of the cell vectors:
1 C 0.000 0.000 0.000
2 Ir 0.500 0.624 0.782
3 Ir 0.000 0.000 0.500
4 Ir 0.500 0.376 0.218